(1)
Ho5Sb4Se (PBE-GGA, relaxed); density of states at the Fermi level = 2.4 states/eV/cell; M_tot = 0.0 μB/f.u.; space group = I4/m (87); ΔE_f (raw) = -1252 meV/atom
1.0
-4.649 -3.650 1.551
-1.690 -5.147 -5.138
2.051 -6.163 3.682
Sb Se Ho
4 1 5
direct
0.598 0.602 0.203
0.201 0.203 0.398
0.801 0.797 0.602
0.404 0.398 0.797
0.001 0.000 0.000
0.707 0.194 0.394
0.101 0.606 0.194
0.901 0.394 0.806
0.295 0.806 0.606
0.501 0.000 0.000

***

(2)
AcTeS (PBE-GGA, relaxed); density of states at the Fermi level = 3.5 states/eV/cell; M_tot = 0.0 μB/f.u.; space group = P-6m2 (187); ΔE_f (raw) = -1297 meV/atom
1.0
4.954 0.000 0.000
-2.477 4.290 0.000
0.000 0.000 4.598
Ac S Te
1 1 1
direct
0.667 0.333 0.500
0.333 0.667 0.499
0.000 0.000 0.000

***

(3)
GeSbTe2O (PBE-GGA, relaxed); density of states at the Fermi level = 11.0 states/eV/cell; M_tot = 0.0 μB/f.u.; space group = P4/mmm (123); ΔE_f (raw) = 1066 meV/atom
1.0
5.292 0.000 0.000
0.000 5.292 0.000
0.000 0.000 5.408
Ge Te O Sb
1 2 1 1
direct
0.000 0.000 0.000
0.000 0.500 0.000
0.500 0.000 0.000
0.500 0.500 0.500
0.000 0.000 0.500

***

Number 1: E -5.54 eV per atom. Number 2: E -5.09 eV per atom. Number 3: E -2.93 eV per atom.